Below is a relaxed structure of Na2TlTe2, with properties calculated at the PBE-GGA level.

a b c (Å): 4.998 4.998 7.716
angles (deg): 71.10 71.10 90.00
Each line ends with the local moment (μB).
Element x y z (fractional)
1 Te 0.384 0.384 0.232  0.15
2 Te 0.616 0.616 0.768  0.15
3 Na 0.750 0.250 0.500  0.01
4 Na 0.250 0.750 0.500  0.01
5 Tl 0.000 0.000 0.000  0.00

Summary:
E_tot   -0.2011 Ry/atom
Polymorph energy (0 for the lowest one)   109 meV per atom
Space group   I4/mmm (139)
ΔE_f (raw)   -479 meV per atom
ρ   4.90 g cm⁻³



Below is a relaxed structure of Na2Tl2Te, with properties calculated at the PBE-GGA level.

a b c (Å): 8.304 8.304 4.665
angles (deg): 90.00 90.00 90.00
Element x y z (fractional)
1 Na 0.671 0.829 0.500
2 Na 0.171 0.671 0.500
3 Na 0.329 0.171 0.500
4 Na 0.829 0.329 0.500
5 Tl 0.634 0.134 0.000
6 Tl 0.866 0.634 0.000
7 Tl 0.366 0.866 0.000
8 Tl 0.134 0.366 0.000
9 Te 0.000 0.000 0.000
10 Te 0.500 0.500 0.000

Summary:
E_tot   -0.1709 Ry/atom
Polymorph energy (0 for the lowest one)   0 meV per atom
Space group   P4/mbm (127)
ΔE_f (raw)   -223 meV per atom
ρ   6.01 g cm⁻³



Below is a relaxed structure of Na2Tl2Te, with properties calculated at the PBE-GGA level.

a b c (Å): 4.671 4.671 8.032
angles (deg): 73.10 73.10 90.00
Element x y z (fractional)
1 Te 0.000 0.000 0.000
2 Na 0.250 0.750 0.500
3 Na 0.750 0.250 0.500
4 Tl 0.403 0.403 0.193
5 Tl 0.597 0.597 0.807

Summary:
E_tot   -0.1618 Ry/atom
Polymorph energy (0 for the lowest one)   124 meV per atom
Space group   I4/mmm (139)
ΔE_f (raw)   -99 meV per atom
ρ   6.05 g cm⁻³



Below is a relaxed structure of NaTlTe, with properties calculated at the PBE-GGA level.

a b c (Å): 5.110 5.110 7.651
angles (deg): 90.00 90.00 90.00
Element x y z (fractional)
1 Tl 0.000 0.500 0.841
2 Tl 0.500 0.000 0.159
3 Na 0.500 0.500 0.500
4 Na 0.000 0.000 0.500
5 Te 0.000 0.500 0.260
6 Te 0.500 0.000 0.740

Summary:
E_tot   -0.2109 Ry/atom
Polymorph energy (0 for the lowest one)   0 meV per atom
Space group   P4/nmm (129)
ΔE_f (raw)   -594 meV per atom
ρ   5.90 g cm⁻³



Below is a relaxed structure of Na3TlTe2, with properties calculated at the PBE-GGA level.

a b c (Å): 4.939 10.545 11.706
angles (deg): 98.68 90.00 103.54
Element x y z (fractional)
1 Te 0.358 0.715 0.533
2 Te 0.176 0.352 0.114
3 Te 0.824 0.648 0.886
4 Te 0.461 0.922 0.217
5 Te 0.539 0.078 0.783
6 Te 0.642 0.285 0.467
7 Na 0.680 0.359 0.946
8 Na 0.386 0.773 0.808
9 Na 0.945 0.890 0.682
10 Na 0.778 0.555 0.620
11 Na 0.500 0.000 0.500
12 Na 0.614 0.227 0.192
13 Na 0.222 0.445 0.380
14 Na 0.320 0.641 0.054
15 Na 0.055 0.110 0.318
16 Tl 0.141 0.283 0.696
17 Tl 0.000 0.000 0.000
18 Tl 0.859 0.717 0.304

Summary:
E_tot   -0.2058 Ry/atom
Polymorph energy (0 for the lowest one)   0 meV per atom
Space group   C2/m (12)
ΔE_f (raw)   -699 meV per atom
ρ   4.50 g cm⁻³



Below is a relaxed structure of NaTl2Te, with properties calculated at the PBE-GGA level.

a b c (Å): 9.093 9.093 7.189
angles (deg): 50.77 50.77 90.00
Element x y z (fractional)
1 Tl 0.109 0.625 0.250
2 Tl 0.375 0.359 0.750
3 Tl 0.641 0.125 0.250
4 Tl 0.875 0.891 0.750
5 Na 0.500 0.500 0.000
6 Na 0.250 0.750 0.500
7 Te 0.000 0.000 0.000
8 Te 0.750 0.250 0.500

Summary:
E_tot   -0.1924 Ry/atom
Polymorph energy (0 for the lowest one)   63 meV per atom
Space group   I-42d (122)
ΔE_f (raw)   -320 meV per atom
ρ   6.99 g cm⁻³